Record 1
Computed, not measured: crystalline MnCuGeOs2 at its relaxed geometry at the PBE level of DFT.

```
MnCuGeOs2
1.0
4.468 0.000 0.000
0.000 4.468 0.000
0.000 0.000 4.416
Mn Cu Ge Os
1 1 1 2
direct
0.000 0.000 0.000
0.500 0.500 0.500
0.000 0.000 0.500
0.000 0.500 0.000
0.500 0.000 0.000
```

DFT formation energy: 1430 meV/atom
Mass density: 10.77 g cm⁻³



Record 2
Computed, not measured: crystalline PaMnCuGe at its relaxed geometry at the PBE level of DFT.

```
PaMnCuGe
1.0
0.000 3.305 3.305
3.305 0.000 3.305
3.305 3.305 0.000
Pa Mn Cu Ge
1 1 1 1
direct
0.000 0.000 0.000
0.500 0.500 0.500
0.750 0.750 0.750
0.250 0.250 0.250
```

DFT formation energy: 38 meV/atom
Mass density: 9.71 g cm⁻³



Record 3
Computed, not measured: crystalline MnCuGe2Pb at its relaxed geometry at the PBE level of DFT.

```
MnCuGe2Pb
1.0
4.669 0.000 0.000
0.000 4.669 0.000
0.000 0.000 4.916
Mn Cu Ge Pb
1 1 2 1
direct
0.000 0.000 0.000
0.000 0.000 0.500
0.000 0.500 0.500
0.500 0.000 0.500
0.500 0.500 0.000
```

DFT formation energy: 479 meV/atom
Mass density: 7.30 g cm⁻³



Record 4
Computed, not measured: crystalline Mn2CuGePd at its relaxed geometry at the PBE level of DFT.

```
Mn2CuGePd
1.0
4.555 0.000 0.000
0.000 4.555 0.000
0.000 0.000 4.696
Mn Cu Ge Pd
2 1 1 1
direct
0.000 0.500 0.000
0.500 0.000 0.000
0.000 0.000 0.000
0.500 0.500 0.500
0.000 0.000 0.500
```

DFT formation energy: 726 meV/atom
Mass density: 6.01 g cm⁻³



Record 5
Computed, not measured: crystalline MnCuGePd at its relaxed geometry at the PBE level of DFT.

```
MnCuGePd
1.0
0.000 3.043 3.043
3.043 0.000 3.043
3.043 3.043 0.000
Mn Cu Ge Pd
1 1 1 1
direct
0.000 0.000 0.000
0.250 0.250 0.250
0.750 0.750 0.750
0.500 0.500 0.500
```

DFT formation energy: -135 meV/atom
Mass density: 8.77 g cm⁻³



Record 6
Computed, not measured: crystalline PmMnCuGe at its relaxed geometry at the PBE level of DFT.

```
PmMnCuGe
1.0
0.000 3.360 3.360
3.360 0.000 3.360
3.360 3.360 0.000
Pm Mn Cu Ge
1 1 1 1
direct
0.000 0.000 0.000
0.500 0.500 0.500
0.750 0.750 0.750
0.250 0.250 0.250
```

DFT formation energy: -120 meV/atom
Mass density: 7.36 g cm⁻³



Record 7
Computed, not measured: crystalline Pm2MnCu3Ge4 at its relaxed geometry at the PBE level of DFT.

```
Pm2MnCu3Ge4
1.0
4.192 0.000 0.000
0.000 4.192 0.000
0.000 0.000 10.231
Pm Mn Cu Ge
2 1 3 4
direct
0.000 0.500 0.246
0.500 0.000 0.754
0.000 0.000 0.500
0.000 0.500 0.870
0.500 0.000 0.130
0.500 0.500 0.500
0.000 0.000 0.000
0.000 0.500 0.635
0.500 0.000 0.365
0.500 0.500 0.000
```

DFT formation energy: -481 meV/atom
Mass density: 7.63 g cm⁻³



Record 8
Computed, not measured: crystalline PmMnCuGe2 at its relaxed geometry at the PBE level of DFT.

```
PmMnCuGe2
1.0
-2.063 2.063 5.309
2.063 -2.063 5.309
2.063 2.063 -5.309
Pm Mn Cu Ge
1 1 1 2
direct
0.000 0.000 0.000
0.250 0.750 0.500
0.750 0.250 0.500
0.379 0.379 0.000
0.621 0.621 0.000
```

DFT formation energy: -478 meV/atom
Mass density: 7.51 g cm⁻³



Record 9
Computed, not measured: crystalline PrMnCuGe2 at its relaxed geometry at the PBE level of DFT.

```
PrMnCuGe2
1.0
-2.087 2.087 5.311
2.087 -2.087 5.311
2.087 2.087 -5.311
Pr Mn Cu Ge
1 1 1 2
direct
0.000 0.000 0.000
0.750 0.250 0.500
0.250 0.750 0.500
0.378 0.378 0.000
0.622 0.622 0.000
```

DFT formation energy: -476 meV/atom
Mass density: 7.26 g cm⁻³



Record 10
Computed, not measured: crystalline MnCuGePt at its relaxed geometry at the PBE level of DFT.

```
MnCuGePt
1.0
0.000 3.058 3.058
3.058 0.000 3.058
3.058 3.058 0.000
Mn Cu Ge Pt
1 1 1 1
direct
0.000 0.000 0.000
0.750 0.750 0.750
0.250 0.250 0.250
0.500 0.500 0.500
```

DFT formation energy: -147 meV/atom
Mass density: 11.21 g cm⁻³



Record 11
Computed, not measured: crystalline MnCuGeRh at its relaxed geometry at the PBE level of DFT.

```
MnCuGeRh
1.0
0.000 3.001 3.001
3.001 0.000 3.001
3.001 3.001 0.000
Mn Cu Ge Rh
1 1 1 1
direct
0.000 0.000 0.000
0.250 0.250 0.250
0.750 0.750 0.750
0.500 0.500 0.500
```

DFT formation energy: -176 meV/atom
Mass density: 9.03 g cm⁻³



Record 12
Computed, not measured: crystalline MnCuGeS4 at its relaxed geometry at the PBE level of DFT.

```
MnCuGeS4
1.0
-3.458 3.528 4.975
3.458 -3.528 4.975
3.458 3.528 -4.975
Mn Cu Ge S
2 2 2 8
direct
0.500 0.000 0.000
0.500 0.500 0.500
0.121 0.371 0.750
0.879 0.629 0.250
0.000 0.000 0.000
0.500 0.000 0.500
0.267 0.245 0.022
0.268 0.264 0.496
0.268 0.772 0.004
0.278 0.755 0.522
0.722 0.245 0.478
0.732 0.228 0.996
0.732 0.736 0.504
0.733 0.755 0.978
```

Energy relative to the elements, uncorrected: -0.43 eV per atom
Mass density: 4.37 g cm⁻³